First-principles (GGA-PBE) data for a geometry-optimized Li3Np2PdS6 structure, as listed in the Alexandria database.

Output
Density: 5.78 Mg/m³
Raw total energy: -75.435 eV/f.u.
Energy relative to the elements, uncorrected: -1155 meV/atom

abc: 6.5197 6.5197 6.5574
angles: 99.58 99.58 119.83
With the nearest neighbours (Å) after each atom.
Positions (direct):
Li 0.8389 0.1611 0.5000  6 S 2.63-2.69
Li 0.1611 0.8389 0.5000  6 S 2.63-2.69
Li 0.5000 0.5000 0.5000  6 S 2.63-2.68
Np 0.6671 0.3329 0.0000  6 S 2.66-2.67
Np 0.3329 0.6671 0.0000  6 S 2.66-2.67
Pd 0.0000 0.0000 0.0000  6 S 2.69-2.71
S 0.5788 0.9161 0.7494  2 Np 2.66, 3 Li 2.68-2.69, 1 Pd 2.69
S 0.0839 0.4212 0.2506  2 Np 2.66, 3 Li 2.68-2.69, 1 Pd 2.69
S 0.7455 0.7455 0.2525  3 Li 2.63, 2 Np 2.67, 1 Pd 2.71
S 0.2545 0.2545 0.7475  3 Li 2.63, 2 Np 2.67, 1 Pd 2.71
S 0.4212 0.0839 0.2506  2 Np 2.66, 3 Li 2.68-2.69, 1 Pd 2.69
S 0.9161 0.5788 0.7494  2 Np 2.66, 3 Li 2.68-2.69, 1 Pd 2.69

=====

First-principles (GGA-PBE) data for a geometry-optimized CeTi2Ga structure, as listed in the Alexandria database.

Output
Density: 6.64 Mg/m³
Raw total energy: -25.088 eV/f.u.
Formation enthalpy at 0 K: -0.34 eV/f.u.

abc: 3.3696 3.3696 6.7315
angles: 90.00 90.00 90.00
With the nearest neighbours (Å) after each atom.
Positions (direct):
Ce 0.5000 0.5000 0.5000  8 Ti 3.10, 2 Ga 3.37, 4 Ce 3.37
Ti 0.0000 0.0000 0.2051  4 Ga 2.75, 1 Ti 2.76
Ti 0.0000 0.0000 0.7949  4 Ga 2.75, 1 Ti 2.76
Ga 0.5000 0.5000 0.0000  8 Ti 2.75

=====

First-principles (GGA-PBE) data for a geometry-optimized LaV3B structure, as listed in the Alexandria database.

Output
Density: 6.32 Mg/m³
Raw total energy: -37.039 eV/f.u.
Formation enthalpy at 0 K: 1.92 eV/f.u.

abc: 4.2994 4.2994 4.2994
angles: 90.00 90.00 90.00
With the nearest neighbours (Å) after each atom.
Positions (direct):
V 0.0000 0.5000 0.0000  2 B 2.15
V 0.0000 0.0000 0.5000  2 B 2.15
V 0.5000 0.0000 0.0000  2 B 2.15
B 0.0000 0.0000 0.0000  6 V 2.15
La 0.5000 0.5000 0.5000  12 V 3.04

=====

First-principles (GGA-PBE) data for a geometry-optimized CaInNi3 structure, as listed in the Alexandria database.

Output
Density: 5.72 Mg/m³
Raw total energy: -16.198 eV/f.u.
Formation enthalpy at 0 K: 5.89 eV/f.u.

abc: 4.5795 4.5795 4.5795
angles: 90.00 90.00 90.00
With the nearest neighbours (Å) after each atom.
Positions (direct):
In 0.5000 0.5000 0.5000  12 Ni 3.24
Ni 0.0000 0.5000 0.0000  2 Ca 2.29
Ni 0.5000 0.0000 0.0000  2 Ca 2.29
Ni 0.0000 0.0000 0.5000  2 Ca 2.29
Ca 0.0000 0.0000 0.0000  6 Ni 2.29

=====

First-principles (GGA-PBE) data for a geometry-optimized MgAg structure, as listed in the Alexandria database.

Output
Density: 5.82 Mg/m³
Raw total energy: -4.814 eV/f.u.
Formation enthalpy at 0 K: -0.37 eV/f.u.

abc: 5.3593 5.3593 10.3165
angles: 135.60 135.60 35.20
With the nearest neighbours (Å) after each atom.
Positions (direct):
Ag 0.6383 0.6383 0.3079  7 Mg 2.84-2.98, 2 Ag 2.99
Ag 0.0020 0.0020 0.9799  6 Mg 2.85-3.16, 4 Ag 2.99-3.00
Ag 0.1335 0.1335 0.7492  7 Mg 2.85-2.91, 2 Ag 3.00
Mg 0.4364 0.4364 0.4148  6 Ag 2.84-3.16, 2 Mg 3.10
Mg 0.7911 0.7911 0.0690  7 Ag 2.85-2.91, 2 Mg 3.10
Mg 0.3320 0.3320 0.6458  7 Ag 2.89-2.92, 3 Mg 3.19-3.22

=====

First-principles (GGA-PBE) data for a geometry-optimized La6Nd12Tm structure, as listed in the Alexandria database.

Output
Density: 6.53 Mg/m³
Raw total energy: -86.021 eV/f.u.
Formation enthalpy at 0 K: 5.23 eV/f.u.

abc: 10.0760 10.0760 10.0760
angles: 112.25 112.25 112.25
With the nearest neighbours (Å) after each atom.
Positions (direct):
La 0.5212 0.2662 0.2662  5 Nd 3.50-3.88, 2 La 3.55, 1 Tm 3.90
La 0.2662 0.2662 0.5212  5 Nd 3.50-3.88, 2 La 3.55, 1 Tm 3.90
La 0.7338 0.4788 0.7338  5 Nd 3.50-3.88, 2 La 3.55, 1 Tm 3.90
La 0.4788 0.7338 0.7338  5 Nd 3.50-3.88, 2 La 3.55, 1 Tm 3.90
La 0.7338 0.7338 0.4788  5 Nd 3.50-3.88, 2 La 3.55, 1 Tm 3.90
La 0.2662 0.5212 0.2662  5 Nd 3.50-3.88, 2 La 3.55, 1 Tm 3.90
Nd 0.5000 0.8780 0.1220  4 Nd 3.15-3.24, 2 La 3.50
Nd 0.2676 0.2676 0.9076  2 Nd 3.24, 2 La 3.56
Nd 0.2676 0.9076 0.2676  2 Nd 3.24, 2 La 3.56
Nd 0.5000 0.1220 0.8780  4 Nd 3.15-3.24, 2 La 3.50
Nd 0.8780 0.5000 0.1220  4 Nd 3.15-3.24, 2 La 3.50
Nd 0.9076 0.2676 0.2676  2 Nd 3.24, 2 La 3.56
Nd 0.1220 0.8780 0.5000  4 Nd 3.15-3.24, 2 La 3.50
Nd 0.7324 0.0924 0.7324  2 Nd 3.24, 2 La 3.56
Nd 0.1220 0.5000 0.8780  4 Nd 3.15-3.24, 2 La 3.50
Nd 0.7324 0.7324 0.0924  2 Nd 3.24, 2 La 3.56
Nd 0.8780 0.1220 0.5000  4 Nd 3.15-3.24, 2 La 3.50
Nd 0.0924 0.7324 0.7324  2 Nd 3.24, 2 La 3.56
Tm 0.0000 0.0000 0.0000  6 Nd 3.70, 6 La 3.90

=====

First-principles (GGA-PBE) data for a geometry-optimized V9Mo4Rh11 structure, as listed in the Alexandria database.

Output
Density: 9.64 Mg/m³
Raw total energy: -212.332 eV/f.u.
Formation enthalpy at 0 K: -6.07 eV/f.u.

abc: 2.7272 11.1780 11.1780
angles: 93.43 89.81 90.19
With the nearest neighbours (Å) after each atom.
Positions (direct):
V 0.5007 0.9765 0.7923  8 Rh 2.61-2.69, 3 V 2.73-2.77
V 0.4990 0.8602 0.3844  1 Mo 2.56, 8 Rh 2.69-2.78, 3 V 2.73-2.77
V 0.4993 0.0235 0.2077  8 Rh 2.61-2.69, 3 V 2.73-2.77
V 0.5010 0.3844 0.8602  1 Mo 2.56, 8 Rh 2.69-2.78, 3 V 2.73-2.77
V 0.5000 0.5000 0.5000  4 Mo 2.55, 2 V 2.73, 4 Rh 2.78-2.81
V 0.4990 0.6156 0.1398  1 Mo 2.56, 8 Rh 2.69-2.78, 3 V 2.73-2.77
V 0.5007 0.2077 0.0235  8 Rh 2.61-2.69, 3 V 2.73-2.77
V 0.4993 0.7923 0.9765  8 Rh 2.61-2.69, 3 V 2.73-2.77
V 0.5010 0.1398 0.6156  1 Mo 2.56, 8 Rh 2.69-2.78, 3 V 2.73-2.77
Rh 0.0048 0.3500 0.6500  6 V 2.72-2.81, 3 Rh 2.73-2.81, 4 Mo 2.80-2.81
Rh 0.0026 0.5932 0.9312  6 V 2.63-2.78, 4 Rh 2.66-2.76, 2 Mo 2.69-2.70
Rh 0.9974 0.9312 0.5932  6 V 2.63-2.78, 4 Rh 2.66-2.76, 2 Mo 2.69-2.70
Rh 0.0000 0.2229 0.2229  4 V 2.61, 4 Rh 2.73-2.76, 4 Mo 2.79-2.83
Rh 0.0026 0.0688 0.4068  6 V 2.63-2.78, 4 Rh 2.66-2.76, 2 Mo 2.69-2.70
Rh 0.0014 0.1772 0.8228  8 V 2.63-2.70, 4 Rh 2.73-2.88
Rh 0.9974 0.4068 0.0688  6 V 2.63-2.78, 4 Rh 2.66-2.76, 2 Mo 2.69-2.70
Rh 0.9952 0.6500 0.3500  6 V 2.72-2.81, 3 Rh 2.73-2.81, 4 Mo 2.80-2.81
Rh 0.9986 0.8228 0.1772  8 V 2.63-2.70, 4 Rh 2.73-2.88
Rh 0.0000 0.7771 0.7771  4 V 2.61, 4 Rh 2.73-2.76, 4 Mo 2.79-2.83
Rh 0.0000 0.0000 0.0000  8 V 2.69, 4 Rh 2.73-2.88
Mo 0.5100 0.5606 0.7237  2 V 2.55-2.56, 3 Mo 2.65-2.73, 6 Rh 2.69-2.83
Mo 0.4900 0.4394 0.2763  2 V 2.55-2.56, 3 Mo 2.65-2.73, 6 Rh 2.69-2.83
Mo 0.4900 0.7237 0.5606  2 V 2.55-2.56, 3 Mo 2.65-2.73, 6 Rh 2.69-2.83
Mo 0.5100 0.2763 0.4394  2 V 2.55-2.56, 3 Mo 2.65-2.73, 6 Rh 2.69-2.83

=====

First-principles (GGA-PBE) data for a geometry-optimized Mg2MnAuSe structure, as listed in the Alexandria database.

Output
Density: 4.69 Mg/m³
Raw total energy: -17.047 eV/f.u.
Energy relative to the elements, uncorrected: 415 meV/atom

abc: 5.0537 5.2635 5.0537
angles: 90.00 90.00 90.00
With the nearest neighbours (Å) after each atom.
Positions (direct):
Se 0.0000 0.5000 0.0000  2 Au 2.63
Mn 0.5000 0.5000 0.5000  4 Se 3.57, 8 Mg 3.65
Mg 0.0000 0.0000 0.5000  2 Au 2.53
Mg 0.5000 0.0000 0.0000  2 Au 2.53
Au 0.0000 0.0000 0.0000  4 Mg 2.53, 2 Se 2.63

=====

Which formula does entry 5 have? MgAg